First-principles (GGA-PBE) data for Pm8HgIr2 after structural relaxation, as listed in the Alexandria database.

Cell and atoms, written as extended XYZ:
```
11
Lattice="4.389 -6.798 0.000 4.389 6.798 0.000 -1.428 0.000 5.504" Properties=species:S:1:pos:R:3 pbc="T T T"
Pm 0.969 1.728 3.144
Pm 4.389 3.465 0.000
Pm 0.969 -1.728 3.144
Pm 3.128 0.000 1.074
Pm 4.222 0.000 4.431
Pm 6.381 1.728 2.361
Pm 4.389 -3.465 0.000
Pm 6.381 -1.728 2.361
Hg 0.000 0.000 0.000
Ir 3.675 2.703 2.752
Ir 3.675 -2.703 2.752
```

DFT formation energy = -0.325 eV/atom